# 1
Rb5Hf2Te6: relaxed, PBE.

Output
As for the uncorrected formation energy: -12.747 eV/f.u. The total moment is 0.08 μB/atom. The value obtained for the uncorrected energy is -4.3340 eV/atom.

Cell lengths 8.646, 8.646, 19.162 Å; angles 100.63, 100.63, 64.54 degrees
Fractional coordinates of all 26 atoms:
Rb1 0.142 0.858 0.750
Rb2 0.186 0.705 0.001
Rb3 0.228 0.449 0.269
Rb4 0.295 0.814 0.499
Rb5 0.449 0.228 0.769
Rb6 0.551 0.772 0.231
Rb7 0.705 0.186 0.501
Rb8 0.772 0.551 0.731
Rb9 0.814 0.295 0.999
Rb10 0.858 0.142 0.250
Hf1 0.131 0.412 0.569
Hf2 0.412 0.131 0.069
Hf3 0.588 0.869 0.931
Hf4 0.869 0.588 0.431
Te1 0.097 0.181 0.638
Te2 0.165 0.275 0.425
Te3 0.181 0.097 0.138
Te4 0.275 0.165 0.925
Te5 0.406 0.486 0.627
Te6 0.486 0.406 0.127
Te7 0.514 0.594 0.873
Te8 0.594 0.514 0.373
Te9 0.725 0.835 0.075
Te10 0.819 0.903 0.862
Te11 0.835 0.725 0.575
Te12 0.903 0.819 0.362

=====

# 2
Rb5HfTe5: relaxed, PBE.

Output
As for the uncorrected formation energy: -8.853 eV/f.u. The total moment is 0.09 μB/atom. The value obtained for the uncorrected energy is -3.5776 eV/atom.

Cell lengths 8.982, 8.982, 9.792 Å; angles 108.42, 108.42, 44.34 degrees
Fractional coordinates of all 11 atoms:
Rb1 0.000 0.000 0.000
Rb2 0.299 0.299 0.194
Rb3 0.329 0.329 0.659
Rb4 0.671 0.671 0.341
Rb5 0.701 0.701 0.806
Hf1 0.000 0.000 0.500
Te1 0.127 0.127 0.366
Te2 0.134 0.134 0.782
Te3 0.500 0.500 0.500
Te4 0.866 0.866 0.218
Te5 0.873 0.873 0.634

=====

# 3
Rb2Hf3Te8: relaxed, PBE.

Output
As for the uncorrected formation energy: -10.142 eV/f.u. The total moment is 0.00 μB/atom. The value obtained for the uncorrected energy is -5.1593 eV/atom.

Cell lengths 10.301, 10.301, 6.994 Å; angles 103.61, 103.61, 46.55 degrees
Fractional coordinates of all 13 atoms:
Rb1 0.247 0.247 0.177
Rb2 0.753 0.753 0.823
Hf1 0.243 0.757 0.500
Hf2 0.500 0.500 0.000
Hf3 0.757 0.243 0.500
Te1 0.091 0.091 0.398
Te2 0.165 0.648 0.106
Te3 0.352 0.835 0.894
Te4 0.406 0.406 0.604
Te5 0.594 0.594 0.396
Te6 0.648 0.165 0.106
Te7 0.835 0.352 0.894
Te8 0.909 0.909 0.602

=====

# 4
Rb2Hf3Te6: relaxed, PBE.

Output
As for the uncorrected formation energy: -9.953 eV/f.u. The total moment is 0.00 μB/atom. The value obtained for the uncorrected energy is -5.5090 eV/atom.

Cell lengths 7.059, 7.059, 9.262 Å; angles 97.35, 97.35, 120.02 degrees
Fractional coordinates of all 11 atoms:
Rb1 0.166 0.834 0.000
Rb2 0.834 0.166 0.000
Hf1 0.000 0.000 0.500
Hf2 0.331 0.669 0.500
Hf3 0.669 0.331 0.500
Te1 0.069 0.398 0.693
Te2 0.273 0.273 0.308
Te3 0.398 0.069 0.693
Te4 0.602 0.931 0.307
Te5 0.727 0.727 0.692
Te6 0.931 0.602 0.307

=====

# 5
Rb2HfTi2Te6: relaxed, PBE.

Output
As for the uncorrected formation energy: -9.404 eV/f.u. The total moment is 0.18 μB/atom. The value obtained for the uncorrected energy is -5.0848 eV/atom.

Cell lengths 7.005, 7.005, 9.176 Å; angles 97.21, 97.21, 120.15 degrees
Fractional coordinates of all 11 atoms:
Rb1 0.164 0.836 0.000
Rb2 0.836 0.164 0.000
Hf1 0.000 0.000 0.500
Ti1 0.331 0.669 0.500
Ti2 0.669 0.331 0.500
Te1 0.065 0.401 0.687
Te2 0.282 0.282 0.315
Te3 0.401 0.065 0.687
Te4 0.599 0.935 0.313
Te5 0.718 0.718 0.685
Te6 0.935 0.599 0.313

=====

# 6
RbHfTlTe3: relaxed, PBE.

Output
As for the uncorrected formation energy: -4.457 eV/f.u. The total moment is 0.00 μB/atom. The value obtained for the uncorrected energy is -4.5282 eV/atom.

Cell lengths 9.301, 9.301, 7.554 Å; angles 96.16, 96.16, 127.39 degrees
Fractional coordinates of all 12 atoms:
Rb1 0.242 0.758 0.750
Rb2 0.758 0.242 0.250
Hf1 0.048 0.952 0.250
Hf2 0.952 0.048 0.750
Tl1 0.413 0.587 0.250
Tl2 0.587 0.413 0.750
Te1 0.182 0.271 0.507
Te2 0.212 0.788 0.250
Te3 0.271 0.182 0.007
Te4 0.729 0.818 0.993
Te5 0.788 0.212 0.750
Te6 0.818 0.729 0.493

=====

# 7
Rb4Y3HfTe8: relaxed, PBE.

Output
As for the uncorrected formation energy: -19.975 eV/f.u. The total moment is 0.00 μB/atom. The value obtained for the uncorrected energy is -4.8953 eV/atom.

Cell lengths 9.989, 9.989, 9.989 Å; angles 52.78, 52.78, 52.78 degrees
Fractional coordinates of all 16 atoms:
Rb1 0.000 0.000 0.000
Rb2 0.000 0.500 0.500
Rb3 0.500 0.000 0.500
Rb4 0.500 0.500 0.000
Y1 0.000 0.000 0.500
Y2 0.000 0.500 0.000
Y3 0.500 0.000 0.000
Hf1 0.500 0.500 0.500
Te1 0.234 0.234 0.234
Te2 0.247 0.725 0.725
Te3 0.275 0.275 0.753
Te4 0.275 0.753 0.275
Te5 0.725 0.247 0.725
Te6 0.725 0.725 0.247
Te7 0.753 0.275 0.275
Te8 0.766 0.766 0.766

=====

# 8
Rb3Y3HfTe8: relaxed, PBE.

Output
As for the uncorrected formation energy: -19.143 eV/f.u. The total moment is 0.00 μB/atom. The value obtained for the uncorrected energy is -5.1017 eV/atom.

Cell lengths 10.131, 10.131, 10.131 Å; angles 51.51, 51.51, 51.51 degrees
Fractional coordinates of all 15 atoms:
Rb1 0.000 0.500 0.500
Rb2 0.500 0.000 0.500
Rb3 0.500 0.500 0.000
Y1 0.000 0.000 0.500
Y2 0.000 0.500 0.000
Y3 0.500 0.000 0.000
Hf1 0.500 0.500 0.500
Te1 0.233 0.233 0.233
Te2 0.246 0.723 0.723
Te3 0.277 0.277 0.754
Te4 0.277 0.754 0.277
Te5 0.723 0.246 0.723
Te6 0.723 0.723 0.246
Te7 0.754 0.277 0.277
Te8 0.767 0.767 0.767

=====

# 9
Rb3HfZr3Te8: relaxed, PBE.

Output
As for the uncorrected formation energy: -14.267 eV/f.u. The total moment is 0.00 μB/atom. The value obtained for the uncorrected energy is -5.1934 eV/atom.

Cell lengths 8.221, 8.221, 10.127 Å; angles 113.91, 113.91, 60.00 degrees
Fractional coordinates of all 15 atoms:
Rb1 0.000 0.000 0.000
Rb2 0.000 0.500 0.000
Rb3 0.500 0.000 0.000
Hf1 0.000 0.000 0.500
Zr1 0.000 0.500 0.500
Zr2 0.500 0.000 0.500
Zr3 0.500 0.500 0.500
Te1 0.231 0.231 0.694
Te2 0.231 0.732 0.694
Te3 0.268 0.268 0.303
Te4 0.268 0.769 0.306
Te5 0.732 0.231 0.694
Te6 0.732 0.732 0.697
Te7 0.769 0.268 0.306
Te8 0.769 0.769 0.306

=====

# 10
RbHfTi2: relaxed, PBE.

Output
The total moment is 0.00 μB/atom. The value obtained for the uncorrected energy is -5.3615 eV/atom.

Cell lengths 7.176, 7.176, 7.176 Å; angles 90.00, 90.00, 90.00 degrees
Fractional coordinates of all 16 atoms:
Rb1 0.000 0.000 0.000
Rb2 0.000 0.500 0.500
Rb3 0.500 0.000 0.500
Rb4 0.500 0.500 0.000
Hf1 0.000 0.000 0.500
Hf2 0.000 0.500 0.000
Hf3 0.500 0.000 0.000
Hf4 0.500 0.500 0.500
Ti1 0.250 0.250 0.250
Ti2 0.250 0.250 0.750
Ti3 0.250 0.750 0.250
Ti4 0.250 0.750 0.750
Ti5 0.750 0.250 0.250
Ti6 0.750 0.250 0.750
Ti7 0.750 0.750 0.250
Ti8 0.750 0.750 0.750

=====

# 11
RbHf2Ti: relaxed, PBE.

Output
The total moment is 0.00 μB/atom. The value obtained for the uncorrected energy is -5.4964 eV/atom.

Cell lengths 7.184, 7.184, 12.910 Å; angles 90.00, 90.00, 90.00 degrees
Fractional coordinates of all 16 atoms:
Rb1 0.000 0.250 0.375
Rb2 0.000 0.750 0.625
Rb3 0.500 0.250 0.125
Rb4 0.500 0.750 0.875
Hf1 0.000 0.000 0.000
Hf2 0.000 0.500 0.000
Hf3 0.250 0.250 0.750
Hf4 0.250 0.750 0.250
Hf5 0.500 0.000 0.500
Hf6 0.500 0.500 0.500
Hf7 0.750 0.250 0.750
Hf8 0.750 0.750 0.250
Ti1 0.000 0.250 0.875
Ti2 0.000 0.750 0.125
Ti3 0.500 0.250 0.625
Ti4 0.500 0.750 0.375

=====

# 12
RbHfTi2: relaxed, PBE.

Output
The total moment is 0.58 μB/atom. The value obtained for the uncorrected energy is -5.1162 eV/atom.

Cell lengths 4.545, 4.545, 20.427 Å; angles 90.00, 90.00, 90.00 degrees
Fractional coordinates of all 16 atoms:
Rb1 0.000 0.000 0.000
Rb2 0.000 0.500 0.250
Rb3 0.500 0.000 0.750
Rb4 0.500 0.500 0.500
Hf1 0.000 0.000 0.500
Hf2 0.000 0.500 0.750
Hf3 0.500 0.000 0.250
Hf4 0.500 0.500 0.000
Ti1 0.181 0.250 0.625
Ti2 0.250 0.681 0.875
Ti3 0.250 0.819 0.375
Ti4 0.319 0.250 0.125
Ti5 0.681 0.750 0.125
Ti6 0.750 0.181 0.375
Ti7 0.750 0.319 0.875
Ti8 0.819 0.750 0.625